Entry 1:
Computed, not measured: crystalline RbY4Cl12 at its relaxed geometry at the PBE level of DFT.

Crystal system = orthorhombic
Calculated total energy = -5.04 eV per atom

a b c (Å): 8.9469 8.9469 8.9469
angles (deg): 109.52 109.52 109.37
Fractional coordinates of all 17 atoms:
Y (0.0000, 0.0000, 0.5000)
Y (0.5000, 0.0000, 0.0000)
Y (0.0000, 0.5000, 0.0000)
Y (0.5000, 0.5000, 0.5000)
Cl (0.1963, 0.9859, 0.7895)
Cl (0.8037, 0.0141, 0.2105)
Cl (0.2870, 0.3036, 0.5906)
Cl (0.2870, 0.6964, 0.9835)
Cl (0.7130, 0.6964, 0.4094)
Cl (0.5187, 0.2130, 0.3057)
Cl (0.7130, 0.3036, 0.0165)
Cl (0.8037, 0.5932, 0.7895)
Cl (0.1963, 0.4068, 0.2105)
Cl (0.0928, 0.7870, 0.3057)
Cl (0.9072, 0.2130, 0.6943)
Cl (0.4813, 0.7870, 0.6943)
Rb (0.0000, 0.5000, 0.5000)


Entry 2:
Computed, not measured: crystalline Rb4YCl7 at its relaxed geometry at the PBE level of DFT.

Crystal system = monoclinic
Calculated total energy = -3.98 eV per atom

a b c (Å): 5.2790 7.5474 12.6065
angles (deg): 107.90 102.09 90.00
Fractional coordinates of all 12 atoms:
Y (0.0000, 0.0000, 0.0000)
Cl (0.1028, 0.2562, 0.2056)
Cl (0.5000, 0.0000, 0.0000)
Cl (0.7171, 0.7496, 0.4342)
Cl (0.9502, 0.2597, 0.9004)
Cl (0.0498, 0.7403, 0.0996)
Cl (0.2829, 0.2504, 0.5658)
Cl (0.8972, 0.7438, 0.7944)
Rb (0.5867, 0.5242, 0.1734)
Rb (0.2956, 0.8218, 0.5913)
Rb (0.4133, 0.4758, 0.8266)
Rb (0.7044, 0.1782, 0.4087)


Entry 3:
Computed, not measured: crystalline Rb2YCl at its relaxed geometry at the PBE level of DFT.

Crystal system = tetragonal
ΔE to the lowest computed polymorph = 0.000 eV/atom

a b c (Å): 13.0957 13.0957 9.6318
angles (deg): 47.17 47.17 90.00
Fractional coordinates of all 8 atoms:
Rb (0.3750, 0.5160, 0.7500)
Rb (0.4840, 0.1250, 0.2500)
Rb (0.8750, 0.7340, 0.7500)
Rb (0.2660, 0.6250, 0.2500)
Y (0.0000, 0.0000, 0.0000)
Y (0.7500, 0.2500, 0.5000)
Cl (0.5000, 0.5000, 0.0000)
Cl (0.2500, 0.7500, 0.5000)


Entry 4:
Computed, not measured: crystalline RbY2Cl at its relaxed geometry at the PBE level of DFT.

Crystal system = cubic
ΔE to the lowest computed polymorph = 0.391 eV/atom

a b c (Å): 5.8072 5.8072 5.8072
angles (deg): 60.00 60.00 60.00
Fractional coordinates of all 4 atoms:
Cl (0.0000, 0.0000, 0.0000)
Y (0.2500, 0.2500, 0.2500)
Y (0.7500, 0.7500, 0.7500)
Rb (0.5000, 0.5000, 0.5000)